Record 1
The following is a meta-GGA SCAN calculation of a PBEsol-optimized structure of Os3Pt2, from Alexandria.

ΔH_f (0 K) ... 5.44 eV per formula unit

abc: 3.7100 3.7100 21.6161
angles: 90.00 90.00 120.00
Space group R-3m (No. 166, hexagonal axes)
One atom of each set of equivalent atoms:
Os1 0.0000 0.0000 0.0000 (multiplicity 3)
Os2 0.0000 0.0000 0.1902 (multiplicity 6)
Pt1 0.0000 0.0000 0.3937 (multiplicity 6)

Record 2
The following is a meta-GGA SCAN calculation of a PBEsol-optimized structure of MnTlTe2, from Alexandria.

Uncorrected formation energy ... 30 meV/atom

abc: 4.2065 4.2065 12.0186
angles: 90.00 90.00 90.00
Space group I-4m2 (No. 119)
One atom of each set of equivalent atoms:
Mn1 0.0000 0.0000 0.0000 (multiplicity 2)
Tl1 0.0000 0.5000 0.7500 (multiplicity 2)
Te1 0.0000 0.0000 0.5000 (multiplicity 2)
Te2 0.0000 0.5000 0.2500 (multiplicity 2)

Record 3
The following is a meta-GGA SCAN calculation of a PBEsol-optimized structure of CsY2NbNi, from Alexandria.

ΔH_f (0 K) ... 8.65 eV per formula unit

abc: 5.4811 5.4811 4.5367
angles: 90.00 90.00 90.00
Space group P4/mmm (No. 123)
One atom of each set of equivalent atoms:
Cs1 0.0000 0.0000 0.0000 (multiplicity 1)
Y1 0.0000 0.5000 0.0000 (multiplicity 2)
Nb1 0.5000 0.5000 0.5000 (multiplicity 1)
Ni1 0.0000 0.0000 0.5000 (multiplicity 1)

Record 4
The following is a meta-GGA SCAN calculation of a PBEsol-optimized structure of Mn2GeB, from Alexandria.

ΔH_f (0 K) ... 0.96 eV per formula unit

abc: 5.4446 5.4446 5.4446
angles: 90.00 90.00 90.00
Space group Fm-3m (No. 225)
One atom of each set of equivalent atoms:
Mn1 0.2500 0.2500 0.2500 (multiplicity 8)
Ge1 0.0000 0.0000 0.0000 (multiplicity 4)
B1 0.0000 0.0000 0.5000 (multiplicity 4)

Record 5
The following is a meta-GGA SCAN calculation of a PBEsol-optimized structure of Zn2TcOs, from Alexandria.

ΔH_f (0 K) ... 0.87 eV per formula unit

abc: 2.6346 4.3536 4.8523
angles: 90.00 96.02 90.00
Space group P2/m (No. 10)
One atom of each set of equivalent atoms:
Zn1 0.2245 0.0000 0.2476 (multiplicity 2)
Tc1 0.5000 0.5000 0.0000 (multiplicity 1)
Os1 0.0000 0.5000 0.5000 (multiplicity 1)

Record 6
The following is a meta-GGA SCAN calculation of a PBEsol-optimized structure of CaTa2Al, from Alexandria.

ΔH_f (0 K) ... 1.75 eV per formula unit

abc: 2.9571 2.9571 30.6669
angles: 90.00 90.00 120.00
Space group R-3m (No. 166, hexagonal axes)
One atom of each set of equivalent atoms:
Ca1 0.0000 0.0000 0.0000 (multiplicity 3)
Ta1 0.0000 0.0000 0.2420 (multiplicity 6)
Al1 0.0000 0.0000 0.5000 (multiplicity 3)

Record 7
The following is a meta-GGA SCAN calculation of a PBEsol-optimized structure of AlCdAs3, from Alexandria.

ΔH_f (0 K) ... 5.74 eV per formula unit

abc: 5.0689 5.0689 5.0689
angles: 90.00 90.00 90.00
Space group Pm-3m (No. 221)
One atom of each set of equivalent atoms:
Al1 0.0000 0.0000 0.0000 (multiplicity 1)
Cd1 0.5000 0.5000 0.5000 (multiplicity 1)
As1 0.0000 0.5000 0.5000 (multiplicity 3)

Record 8
The following is a meta-GGA SCAN calculation of a PBEsol-optimized structure of KEuTiO4, from Alexandria.

Uncorrected formation energy ... -2982 meV/atom

abc: 13.0603 5.4397 5.3639
angles: 90.00 90.00 90.00
Space group Pbcm (No. 57)
One atom of each set of equivalent atoms:
K1 0.0949 0.0153 0.2500 (multiplicity 4)
Eu1 0.3972 0.0224 0.2500 (multiplicity 4)
Ti1 0.2500 0.5068 0.2500 (multiplicity 4)
O1 0.1160 0.5241 0.2500 (multiplicity 4)
O2 0.2708 0.2500 0.0000 (multiplicity 4)
O3 0.2904 0.7500 0.0000 (multiplicity 4)
O4 0.4345 0.0553 0.7500 (multiplicity 4)

Record 9
The following is a meta-GGA SCAN calculation of a PBEsol-optimized structure of Ba2SrIr, from Alexandria.

ΔH_f (0 K) ... -0.60 eV per formula unit

abc: 5.9847 14.0405 4.3849
angles: 90.00 90.00 90.00
Space group Cmmm (No. 65)
One atom of each set of equivalent atoms:
Ba1 0.0000 0.1443 0.0000 (multiplicity 4)
Sr1 0.0000 0.5000 0.5000 (multiplicity 2)
Ir1 0.0000 0.0000 0.5000 (multiplicity 2)

Record 10
The following is a meta-GGA SCAN calculation of a PBEsol-optimized structure of TcW2Br, from Alexandria.

Uncorrected formation energy ... 1308 meV/atom

abc: 6.2877 6.2877 6.2877
angles: 90.00 90.00 90.00
Space group Fm-3m (No. 225)
One atom of each set of equivalent atoms:
Tc1 0.0000 0.0000 0.0000 (multiplicity 4)
W1 0.2500 0.2500 0.2500 (multiplicity 8)
Br1 0.0000 0.0000 0.5000 (multiplicity 4)

Record 11
The following is a meta-GGA SCAN calculation of a PBEsol-optimized structure of RbFeSe2, from Alexandria.

Uncorrected formation energy ... -809 meV/atom

abc: 7.2164 11.7198 5.5452
angles: 90.00 112.46 90.00
Space group C2/c (No. 15)
One atom of each set of equivalent atoms:
Rb1 0.0000 0.1376 0.2500 (multiplicity 4)
Fe1 0.0000 0.5001 0.2500 (multiplicity 4)
Se1 0.1891 0.3874 0.0920 (multiplicity 8)

Record 12
The following is a meta-GGA SCAN calculation of a PBEsol-optimized structure of Cr4RuW, from Alexandria.

ΔH_f (0 K) ... 0.61 eV per formula unit

abc: 6.6588 6.6588 6.6588
angles: 90.00 90.00 90.00
Space group F-43m (No. 216)
One atom of each set of equivalent atoms:
Cr1 0.1235 0.1235 0.1235 (multiplicity 16)
Ru1 0.0000 0.0000 0.5000 (multiplicity 4)
W1 0.2500 0.2500 0.7500 (multiplicity 4)

Record 13
The following is a meta-GGA SCAN calculation of a PBEsol-optimized structure of ReOs, from Alexandria.

ΔH_f (0 K) ... -0.16 eV per formula unit

abc: 4.3585 2.7448 14.3027
angles: 90.00 90.00 90.00
Space group Amm2 (No. 38)
One atom of each set of equivalent atoms:
Re1 0.0000 0.0000 0.0000 (multiplicity 2)
Re2 0.0000 0.0000 0.3317 (multiplicity 2)
Re3 0.5000 0.0000 0.5562 (multiplicity 2)
Os1 0.0000 0.0000 0.6669 (multiplicity 2)
Os2 0.5000 0.0000 0.2219 (multiplicity 2)
Os3 0.5000 0.0000 0.8882 (multiplicity 2)

Record 14
The following is a meta-GGA SCAN calculation of a PBEsol-optimized structure of K2AgHg, from Alexandria.

ΔH_f (0 K) ... -0.17 eV per formula unit

abc: 5.0994 5.0994 9.0995
angles: 90.00 90.00 90.00
Space group I-4m2 (No. 119)
One atom of each set of equivalent atoms:
K1 0.0000 0.0000 0.0000 (multiplicity 2)
K2 0.0000 0.5000 0.2500 (multiplicity 2)
Ag1 0.0000 0.0000 0.5000 (multiplicity 2)
Hg1 0.0000 0.5000 0.7500 (multiplicity 2)

Record 15
The following is a meta-GGA SCAN calculation of a PBEsol-optimized structure of ZnHg2Ru, from Alexandria.

ΔH_f (0 K) ... 1.47 eV per formula unit

abc: 5.6366 7.4722 3.2017
angles: 90.00 90.00 90.00
Space group Cmmm (No. 65)
One atom of each set of equivalent atoms:
Zn1 0.0000 0.0000 0.0000 (multiplicity 2)
Hg1 0.2500 0.2500 0.5000 (multiplicity 4)
Ru1 0.0000 0.5000 0.0000 (multiplicity 2)

Record 16
The following is a meta-GGA SCAN calculation of a PBEsol-optimized structure of BePBrO2, from Alexandria.

Uncorrected formation energy ... 877 meV/atom

abc: 3.7009 3.7009 5.1527
angles: 90.00 90.00 90.00
Space group P4/mmm (No. 123)
One atom of each set of equivalent atoms:
Be1 0.0000 0.0000 0.0000 (multiplicity 1)
P1 0.5000 0.5000 0.0000 (multiplicity 1)
Br1 0.5000 0.5000 0.5000 (multiplicity 1)
O1 0.0000 0.5000 0.5000 (multiplicity 2)

Record 17
The following is a meta-GGA SCAN calculation of a PBEsol-optimized structure of KIrW3, from Alexandria.

ΔH_f (0 K) ... 10.27 eV per formula unit

abc: 4.8410 4.8410 4.8410
angles: 90.00 90.00 90.00
Space group Pm-3m (No. 221)
One atom of each set of equivalent atoms:
K1 0.0000 0.0000 0.0000 (multiplicity 1)
Ir1 0.5000 0.5000 0.5000 (multiplicity 1)
W1 0.0000 0.5000 0.5000 (multiplicity 3)

Record 18
The following is a meta-GGA SCAN calculation of a PBEsol-optimized structure of SrLiAu, from Alexandria.

ΔH_f (0 K) ... -2.01 eV per formula unit

abc: 4.4748 4.4748 4.3211
angles: 90.00 90.00 120.00
Space group P-6m2 (No. 187)
One atom of each set of equivalent atoms:
Sr1 0.0000 0.0000 0.0000 (multiplicity 1)
Li1 0.3333 0.6667 0.5000 (multiplicity 1)
Au1 0.6667 0.3333 0.5000 (multiplicity 1)

Record 19
The following is a meta-GGA SCAN calculation of a PBEsol-optimized structure of Li13Nb14ZnO42, from Alexandria.

Uncorrected formation energy ... -2652 meV/atom

abc: 8.9473 9.1520 9.7595
angles: 103.60 98.75 99.38
Space group P1 (No. 1)
One atom of each set of equivalent atoms:
Li1 0.0000 0.0000 0.0000 (multiplicity 1)
Li2 0.0692 0.7858 0.6456 (multiplicity 1)
Li3 0.1458 0.5696 0.2885 (multiplicity 1)
Li4 0.2155 0.3544 0.9336 (multiplicity 1)
Li5 0.2862 0.1456 0.5727 (multiplicity 1)
Li6 0.3586 0.9274 0.2158 (multiplicity 1)
Li7 0.4306 0.7118 0.8599 (multiplicity 1)
Li8 0.5706 0.2844 0.1457 (multiplicity 1)
Li9 0.6438 0.0703 0.7876 (multiplicity 1)
Li10 0.7143 0.8527 0.4317 (multiplicity 1)
Li11 0.7849 0.6398 0.0724 (multiplicity 1)
Li12 0.8537 0.4268 0.7167 (multiplicity 1)
Li13 0.9275 0.2128 0.3575 (multiplicity 1)
Nb1 0.0381 0.8784 0.3659 (multiplicity 1)
Nb2 0.1141 0.6645 0.0130 (multiplicity 1)
Nb3 0.1800 0.4499 0.6577 (multiplicity 1)
Nb4 0.2501 0.2314 0.2924 (multiplicity 1)
Nb5 0.3260 0.0189 0.9368 (multiplicity 1)
Nb6 0.3940 0.8093 0.5837 (multiplicity 1)
Nb7 0.4703 0.5927 0.2230 (multiplicity 1)
Nb8 0.5400 0.3763 0.8655 (multiplicity 1)
Nb9 0.6102 0.1560 0.5073 (multiplicity 1)
Nb10 0.6834 0.9495 0.1506 (multiplicity 1)
Nb11 0.7598 0.7360 0.7980 (multiplicity 1)
Nb12 0.8327 0.5189 0.4376 (multiplicity 1)
Nb13 0.8962 0.3057 0.0791 (multiplicity 1)
Nb14 0.9687 0.0930 0.7234 (multiplicity 1)
Zn1 0.5007 0.4964 0.5069 (multiplicity 1)
O1 0.0114 0.2224 0.9393 (multiplicity 1)
O2 0.0789 0.5093 0.8311 (multiplicity 1)
O3 0.0913 0.3367 0.2460 (multiplicity 1)
O4 0.0996 0.0921 0.3737 (multiplicity 1)
O5 0.1271 0.9751 0.8154 (multiplicity 1)
O6 0.1372 0.2307 0.6918 (multiplicity 1)
O7 0.1532 0.7970 0.2254 (multiplicity 1)
O8 0.2207 0.0788 0.1159 (multiplicity 1)
O9 0.2349 0.9097 0.5308 (multiplicity 1)
O10 0.2413 0.6607 0.6558 (multiplicity 1)
O11 0.2693 0.5466 0.1024 (multiplicity 1)
O12 0.2814 0.8026 0.9793 (multiplicity 1)
O13 0.2992 0.3684 0.5131 (multiplicity 1)
O14 0.3671 0.6494 0.4055 (multiplicity 1)
O15 0.3768 0.4785 0.8167 (multiplicity 1)
O16 0.3857 0.2319 0.9446 (multiplicity 1)
O17 0.4119 0.1183 0.3869 (multiplicity 1)
O18 0.4233 0.3738 0.2682 (multiplicity 1)
O19 0.4414 0.9359 0.7964 (multiplicity 1)
O20 0.5068 0.2216 0.6883 (multiplicity 1)
O21 0.5195 0.0502 0.1038 (multiplicity 1)
O22 0.5287 0.8046 0.2312 (multiplicity 1)
O23 0.5553 0.6853 0.6718 (multiplicity 1)
O24 0.5666 0.9451 0.5502 (multiplicity 1)
O25 0.5819 0.5084 0.0828 (multiplicity 1)
O26 0.6494 0.7933 0.9739 (multiplicity 1)
O27 0.6624 0.6181 0.3900 (multiplicity 1)
O28 0.6674 0.3755 0.5168 (multiplicity 1)
O29 0.6978 0.2601 0.9571 (multiplicity 1)
O30 0.7083 0.5167 0.8370 (multiplicity 1)
O31 0.7263 0.0813 0.3678 (multiplicity 1)
O32 0.7933 0.3638 0.2590 (multiplicity 1)
O33 0.8059 0.1937 0.6744 (multiplicity 1)
O34 0.8131 0.9472 0.8009 (multiplicity 1)
O35 0.8400 0.8320 0.2437 (multiplicity 1)
O36 0.8526 0.0876 0.1215 (multiplicity 1)
O37 0.8665 0.6514 0.6527 (multiplicity 1)
O38 0.9367 0.9352 0.5462 (multiplicity 1)
O39 0.9488 0.7642 0.9592 (multiplicity 1)
O40 0.9565 0.5179 0.0861 (multiplicity 1)
O41 0.9812 0.4024 0.5292 (multiplicity 1)
O42 0.9963 0.6601 0.4068 (multiplicity 1)

Record 20
The following is a meta-GGA SCAN calculation of a PBEsol-optimized structure of AlGaS3, from Alexandria.

Uncorrected formation energy ... -131 meV/atom

abc: 4.6099 4.6099 4.6099
angles: 90.00 90.00 90.00
Space group Pm-3m (No. 221)
One atom of each set of equivalent atoms:
Al1 0.0000 0.0000 0.0000 (multiplicity 1)
Ga1 0.5000 0.5000 0.5000 (multiplicity 1)
S1 0.0000 0.0000 0.5000 (multiplicity 3)

Record 21
The following is a meta-GGA SCAN calculation of a PBEsol-optimized structure of NbAlZn2O, from Alexandria.

Uncorrected formation energy ... 1440 meV/atom

abc: 4.9621 4.9621 5.1273
angles: 90.00 90.00 90.00
Space group P4/mmm (No. 123)
One atom of each set of equivalent atoms:
Nb1 0.0000 0.0000 0.0000 (multiplicity 1)
Al1 0.0000 0.0000 0.5000 (multiplicity 1)
Zn1 0.0000 0.5000 0.0000 (multiplicity 2)
O1 0.5000 0.5000 0.5000 (multiplicity 1)

Record 22
The following is a meta-GGA SCAN calculation of a PBEsol-optimized structure of BaSbPb2, from Alexandria.

Uncorrected formation energy ... -531 meV/atom

abc: 11.0983 4.4064 5.7498
angles: 90.00 108.98 90.00
Space group Cm (No. 8)
One atom of each set of equivalent atoms:
Ba1 0.0000 0.0000 0.0000 (multiplicity 2)
Sb1 0.2410 0.0000 0.6725 (multiplicity 2)
Pb1 0.0111 0.5000 0.5171 (multiplicity 2)
Pb2 0.2653 0.5000 0.3150 (multiplicity 2)

Record 23
The following is a meta-GGA SCAN calculation of a PBEsol-optimized structure of LiCd2AsAu, from Alexandria.

ΔH_f (0 K) ... 1.93 eV per formula unit

abc: 4.7016 4.7016 4.4215
angles: 90.00 90.00 90.00
Space group P4/mmm (No. 123)
One atom of each set of equivalent atoms:
Li1 0.0000 0.0000 0.0000 (multiplicity 1)
Cd1 0.0000 0.5000 0.0000 (multiplicity 2)
As1 0.5000 0.5000 0.5000 (multiplicity 1)
Au1 0.0000 0.0000 0.5000 (multiplicity 1)

Record 24
The following is a meta-GGA SCAN calculation of a PBEsol-optimized structure of CuOs2Se, from Alexandria.

Uncorrected formation energy ... 826 meV/atom

abc: 4.0054 4.0054 7.0644
angles: 90.00 90.00 90.00
Space group I-4m2 (No. 119)
One atom of each set of equivalent atoms:
Cu1 0.0000 0.0000 0.0000 (multiplicity 2)
Os1 0.0000 0.0000 0.5000 (multiplicity 2)
Os2 0.0000 0.5000 0.7500 (multiplicity 2)
Se1 0.0000 0.5000 0.2500 (multiplicity 2)

| no. | energy (eV/cell) |
| --- | --- |
| 1 | -1051.77 |
| 2 | -329.99 |
| 3 | -134.15 |
| 4 | -248.25 |
| 5 | -133.11 |
| 6 | -446.51 |
| 7 | -93.00 |
| 8 | -495.46 |
| 9 | -346.15 |
| 10 | -754.66 |
| 11 | -329.04 |
| 12 | -709.77 |
| 13 | -858.82 |
| 14 | -232.73 |
| 15 | -366.40 |
| 16 | -42.29 |
| 17 | -278.22 |
| 18 | -95.83 |
| 19 | -955.78 |
| 20 | -53.64 |
| 21 | -66.94 |
| 22 | -461.00 |
| 23 | -150.63 |
| 24 | -351.47 |